No. 1
Tl2CuS: optimized geometry, PBE-GGA.

Cell: 6.600 6.600 11.149 Å, 90.00 90.00 90.00°
Space group I-42d (No. 122)
Symmetry-distinct sites (fractional):
Tl1 0.236 0.250 0.125 x8
Cu1 0.000 0.000 0.000 x4
S1 0.000 0.000 0.500 x4

Calculated values
**Offset from the most stable computed form**: 0.0000 eV per atom
**Magnetic moment**: 0.000 Bohr magnetons per cell
**Raw formation energy**: 13.6 kJ per mole of atoms
**E_tot**: -3.10 eV/atom

---

No. 2
Tl3CuS4: optimized geometry, PBE-GGA.

Cell: 6.182 6.182 11.721 Å, 90.00 90.00 90.00°
Space group I-42m (No. 121)
Symmetry-distinct sites (fractional):
Tl1 0.000 0.000 0.000 x2
Tl2 0.000 0.500 0.250 x4
Cu1 0.000 0.000 0.500 x2
S1 0.206 0.206 0.377 x8

Calculated values
**Magnetic moment**: 0.000 Bohr magnetons per cell
**Raw formation energy**: -14.2 kJ per mole of atoms
**E_tot**: -3.61 eV/atom

---

No. 3
Tl3Cu4S4: optimized geometry, PBE-GGA.

Cell: 3.946 4.552 25.854 Å, 90.00 90.00 90.00°
Space group Immm (No. 71)
Symmetry-distinct sites (fractional):
Tl1 0.000 0.000 0.000 x2
Tl2 0.000 0.500 0.350 x4
Cu1 0.000 0.000 0.250 x4
Cu2 0.000 0.500 0.112 x4
S1 0.000 0.000 0.430 x4
S2 0.000 0.500 0.203 x4

Calculated values
**Magnetic moment**: 0.000 Bohr magnetons per cell
**Raw formation energy**: -18.8 kJ per mole of atoms
**E_tot**: -3.83 eV/atom

---

No. 4
TlCu4S3: optimized geometry, PBE-GGA.

Cell: 3.889 3.889 9.462 Å, 90.00 90.00 90.00°
Space group P4/mmm (No. 123)
Symmetry-distinct sites (fractional):
Tl1 0.000 0.000 0.000 x1
Cu1 0.000 0.500 0.341 x4
S1 0.000 0.000 0.500 x1
S2 0.500 0.500 0.210 x2

Calculated values
**Magnetic moment**: 0.000 Bohr magnetons per cell
**Raw formation energy**: -20.7 kJ per mole of atoms
**E_tot**: -4.11 eV/atom

---

No. 5
Tl2CuS2: optimized geometry, PBE-GGA.

Cell: 4.479 8.957 7.153 Å, 90.00 116.23 90.00°
Space group P2_1/c (No. 14)
Symmetry-distinct sites (fractional):
Tl1 0.114 0.132 0.311 x4
Cu1 0.500 0.000 0.000 x2
S1 0.465 0.639 0.735 x4

Calculated values
**Offset from the most stable computed form**: 0.0015 eV per atom
**Magnetic moment**: 0.000 Bohr magnetons per cell
**Raw formation energy**: -19.0 kJ per mole of atoms
**E_tot**: -3.61 eV/atom

---

No. 6
Tl2Cu3S4: optimized geometry, PBE-GGA.

Cell: 6.535 9.120 14.263 Å, 90.00 90.00 90.00°
Space group Fmmm (No. 69)
Symmetry-distinct sites (fractional):
Tl1 0.000 0.000 0.193 x8
Cu1 0.000 0.000 0.500 x4
Cu2 0.250 0.250 0.000 x8
S1 0.000 0.192 0.393 x16

Calculated values
**Magnetic moment**: 0.000 Bohr magnetons per cell
**Raw formation energy**: -14.2 kJ per mole of atoms
**E_tot**: -3.87 eV/atom

---

No. 7
Tm2TlCuS4: optimized geometry, PBE-GGA.

Cell: 3.918 13.481 13.677 Å, 90.00 90.00 90.00°
Space group Cmcm (No. 63)
Symmetry-distinct sites (fractional):
Tm1 0.000 0.133 0.063 x8
Tl1 0.000 0.391 0.250 x4
Cu1 0.000 0.333 0.750 x4
S1 0.000 0.072 0.250 x4
S2 0.000 0.239 0.607 x8
S3 0.000 0.500 0.000 x4

Calculated values
**Magnetic moment**: 0.000 Bohr magnetons per cell
**Raw formation energy**: -139.2 kJ per mole of atoms
**E_tot**: -5.43 eV/atom

---

No. 8
UTl2Cu2S4: optimized geometry, PBE-GGA.

Cell: 14.294 3.939 7.759 Å, 90.00 108.74 90.00°
Space group C2/m (No. 12)
Symmetry-distinct sites (fractional):
U1 0.000 0.000 0.000 x2
Tl1 0.140 0.000 0.575 x4
Cu1 0.181 0.500 0.986 x4
S1 0.023 0.500 0.776 x4
S2 0.197 0.000 0.167 x4

Calculated values
**Magnetic moment**: 4.004 Bohr magnetons per cell
**Raw formation energy**: -69.0 kJ per mole of atoms
**E_tot**: -5.24 eV/atom

---

No. 9
U2Tl2CuS6: optimized geometry, PBE-GGA.

Cell: 6.558 12.677 7.734 Å, 90.00 103.93 90.00°
Space group C2/m (No. 12)
Symmetry-distinct sites (fractional):
U1 0.000 0.162 0.000 x4
Tl1 0.000 0.353 0.500 x4
Cu1 0.000 0.500 0.000 x2
S1 0.245 0.302 0.208 x8
S2 0.248 0.500 0.845 x4

Calculated values
**Magnetic moment**: 6.000 Bohr magnetons per cell
**Raw formation energy**: -87.4 kJ per mole of atoms
**E_tot**: -6.01 eV/atom

---

No. 10
U2TlCu2S6: optimized geometry, PBE-GGA.

Cell: 7.085 7.265 7.374 Å, 91.02 117.58 118.89°
Space group P-1 (No. 2)
Symmetry-distinct sites (fractional):
U1 0.158 0.329 0.488 x2
Tl1 0.500 0.000 0.500 x1
Cu1 0.366 0.310 0.067 x2
S1 0.046 0.083 0.739 x2
S2 0.275 0.684 0.738 x2
S3 0.354 0.542 0.261 x2

Calculated values
**Magnetic moment**: 3.000 Bohr magnetons per cell
**Raw formation energy**: -85.1 kJ per mole of atoms
**E_tot**: -6.15 eV/atom

---

No. 11
UTlCuS4: optimized geometry, PBE-GGA.

Cell: 6.323 6.003 8.884 Å, 90.00 108.11 90.00°
Space group P2_1/m (No. 11)
Symmetry-distinct sites (fractional):
U1 0.246 0.250 0.056 x2
Tl1 0.263 0.250 0.557 x2
Cu1 0.231 0.750 0.841 x2
S1 0.029 0.519 0.195 x4
S2 0.442 0.750 0.677 x2
S3 0.457 0.750 0.093 x2

Calculated values
**Magnetic moment**: 0.458 Bohr magnetons per cell
**Raw formation energy**: -74.7 kJ per mole of atoms
**E_tot**: -5.67 eV/atom

---

No. 12
U3TlCu4S12: optimized geometry, PBE-GGA.

Cell: 13.6164 13.6164 9.7377 Å, 90.00 90.00 120.00°
Space group R32 (No. 155, hexagonal axes)
Symmetry-distinct sites (fractional):
U1 0.0000 0.5608 0.0000 x9
Tl1 0.0000 0.0000 0.0000 x3
Cu1 0.0000 0.0000 0.5000 x3
Cu2 0.0000 0.4350 0.5000 x9
S1 0.0000 0.5985 0.5000 x9
S2 0.0000 0.8392 0.5000 x9
S3 0.0554 0.2259 0.1913 x18

Calculated values
**Magnetic moment**: 0.000 Bohr magnetons per cell
**Raw formation energy**: -64.5 kJ per mole of atoms
**E_tot**: -5.78 eV/atom